Below is InPBr2 after structural relaxation, with properties calculated at the PBE level.

abc: 4.1460 4.2510 8.5122
angles: 88.34 84.02 62.97
Closest atoms and distances in Å follow each position.
Fractional coordinates of all 4 atoms:
Br: 0.0031 0.1928 0.2966  1 P 2.25
P: 0.1959 0.0848 0.0380  1 Br 2.25
Br: 0.5800 0.7243 0.6866  1 In 2.61
In: 0.8989 0.7251 0.9350  3 P 2.58-2.66, 1 Br 2.61

- Distance to the lowest polymorph of the same formula: 0.022 eV/atom
- E: -3.246 eV/atom

---

Below is InPBr2 after structural relaxation, with properties calculated at the PBE level.

abc: 4.2165 7.0357 9.0050
angles: 94.05 95.52 95.28
Closest atoms and distances in Å follow each position.
Fractional coordinates of all 8 atoms:
In: 0.5000 0.5000 0.5000  2 P 2.57
P: 0.4772 0.8111 0.3671  1 Br 2.22
P: 0.5228 0.1889 0.6328  1 Br 2.22
Br: 0.5448 0.7489 0.1272  1 P 2.22
Br: 0.0710 0.6849 0.6958  3 In 2.95-2.98
Br: 0.4552 0.2511 0.8728  1 P 2.22
In: 0.0000 0.0000 0.5000  4 P 2.61-2.82
Br: 0.9290 0.3151 0.3042  3 In 2.95-2.98

- Distance to the lowest polymorph of the same formula: 0.019 eV/atom
- E: -3.249 eV/atom

---

Below is In2PBr after structural relaxation, with properties calculated at the PBE level.

abc: 3.7536 3.7536 8.4805
angles: 90.00 90.00 90.00
Closest atoms and distances in Å follow each position.
Fractional coordinates of all 4 atoms:
Br: 0.5000 0.5000 0.7603  5 In 2.90-3.19
P: 0.0000 0.0000 0.3526  4 In 2.71
In: 0.0000 0.0000 0.9693  4 Br 3.19, 1 P 3.25
In: 0.5000 0.5000 0.4178  4 P 2.71, 1 Br 2.90

- Distance to the lowest polymorph of the same formula: 0.130 eV/atom
- E: -3.232 eV/atom
- N(E_F): 0.567 states/eV/atom

---

Below is InPBr2 after structural relaxation, with properties calculated at the PBE level.

abc: 7.0875 7.0875 7.0875
angles: 149.97 133.01 56.78
Closest atoms and distances in Å follow each position.
Fractional coordinates of all 4 atoms:
P: 0.2500 0.7500 0.5000  4 Br 2.63
In: 0.7500 0.2500 0.5000  4 P 3.37, 4 Br 3.39, 2 In 3.67
Br: 0.4008 0.4008 0.0000  2 P 2.63
Br: 0.0992 0.0992 0.0000  2 P 2.63

- Distance to the lowest polymorph of the same formula: 0.386 eV/atom
- E: -2.882 eV/atom
- N(E_F): 0.123 states/eV/atom

---

Below is In2PBr after structural relaxation, with properties calculated at the PBE level.

abc: 5.7737 5.7737 5.7737
angles: 138.63 101.75 92.63
Closest atoms and distances in Å follow each position.
Fractional coordinates of all 4 atoms:
In: 0.9657 0.9657 0.0000  2 P 2.67
Br: 0.2500 0.7500 0.5000  4 In 3.05
In: 0.5343 0.5343 0.0000  2 P 2.67
P: 0.7500 0.2500 0.5000  4 In 2.67

- Distance to the lowest polymorph of the same formula: 0.239 eV/atom
- E: -3.123 eV/atom
- N(E_F): 0.263 states/eV/atom

---

Below is In4PBr after structural relaxation, with properties calculated at the PBE level.

abc: 6.1837 6.1837 6.1837
angles: 60.00 60.00 60.00
Closest atoms and distances in Å follow each position.
Fractional coordinates of all 6 atoms:
In: 0.3756 0.3756 0.8732  6 In 3.08-3.11
In: 0.3756 0.8732 0.3756  6 In 3.08-3.11
Br: 0.0000 0.0000 0.0000  12 In 3.63, 4 P 3.79
In: 0.8732 0.3756 0.3756  6 In 3.08-3.11
P: 0.7500 0.7500 0.7500  12 In 3.62, 4 Br 3.79
In: 0.3756 0.3756 0.3756  6 In 3.08-3.11

- E: -2.722 eV/atom
- N(E_F): 0.574 states/eV/atom

---

Below is InPBr2 after structural relaxation, with properties calculated at the PBE level.

abc: 3.6611 3.6631 7.7309
angles: 90.00 90.00 90.00
Closest atoms and distances in Å follow each position.
Fractional coordinates of all 4 atoms:
Br: 0.0000 0.0000 0.9843  4 P 3.16, 4 In 3.31
Br: 0.0000 0.0000 0.5157  4 P 3.16, 4 In 3.31
In: 0.5000 0.5000 0.2500  8 Br 3.31, 4 In 3.66
P: 0.5000 0.5000 0.7500  8 Br 3.16

- Distance to the lowest polymorph of the same formula: 0.799 eV/atom
- E: -2.469 eV/atom
- N(E_F): 0.698 states/eV/atom

---

Below is InPBr2 after structural relaxation, with properties calculated at the PBE level.

abc: 4.3164 4.9374 6.5959
angles: 69.85 90.00 90.00
Closest atoms and distances in Å follow each position.
Fractional coordinates of all 4 atoms:
P: 0.5000 0.3182 0.3971  1 Br 2.33, 2 In 2.57
Br: 0.0000 0.0297 0.9461  2 In 2.79-2.88
In: 0.0000 0.4153 0.1719  2 P 2.57, 1 Br 2.79
Br: 0.5000 0.7368 0.4849  1 P 2.33

- Distance to the lowest polymorph of the same formula: 0.130 eV/atom
- E: -3.138 eV/atom

---

One value per record, in order, for total magnetization: 0.00; 0.00; 0.00; 0.00; 0.00; 0.35; 1.52; 0.00 μB per formula unit.